(1)
# VCoP2O8 (meta-GGA SCAN, PBEsol geometry)
# * electronic total energy: -11.041 eV per atom
# * space group: No. 11
# * M_tot: 0.03 μB per cell
# * formation energy (no corrections): -27.06 eV per formula unit
data_VCoP2O8
_chemical_formula_sum 'V2 Co2 P4 O16'
_symmetry_space_group_name_H-M 'P 1'
_symmetry_Int_Tables_number 1
_symmetry_space_group_name_Hall 'P 1'
_cell_length_a 4.790
_cell_length_b 5.759
_cell_length_c 9.737
_cell_angle_alpha 90.00
_cell_angle_beta 90.72
_cell_angle_gamma 90.00
loop_
_atom_site_label
_atom_site_fract_x
_atom_site_fract_y
_atom_site_fract_z
V1 0.028 0.250 0.229
V2 0.972 0.750 0.771
Co1 0.462 0.250 0.732
Co2 0.538 0.750 0.268
P1 0.078 0.750 0.095
P2 0.390 0.750 0.594
P3 0.610 0.250 0.406
P4 0.922 0.250 0.905
O1 0.152 0.750 0.940
O2 0.226 0.539 0.167
O3 0.226 0.961 0.167
O4 0.232 0.545 0.670
O5 0.232 0.955 0.670
O6 0.236 0.250 0.892
O7 0.299 0.250 0.368
O8 0.346 0.750 0.441
O9 0.654 0.250 0.559
O10 0.701 0.750 0.632
O11 0.764 0.750 0.108
O12 0.768 0.045 0.330
O13 0.768 0.455 0.330
O14 0.774 0.039 0.833
O15 0.774 0.461 0.833
O16 0.848 0.250 0.060

(2)
# CuReSb3 (meta-GGA SCAN, PBEsol geometry)
# * electronic total energy: -38.610 eV per atom
# * space group: No. 221
# * M_tot: 0.00 μB per cell
# * formation energy (no corrections): 5.03 eV per formula unit
data_CuReSb3
_chemical_formula_sum 'Cu1 Re1 Sb3'
_symmetry_space_group_name_H-M 'P 1'
_symmetry_Int_Tables_number 1
_symmetry_space_group_name_Hall 'P 1'
_cell_length_a 5.102
_cell_length_b 5.102
_cell_length_c 5.102
_cell_angle_alpha 90.00
_cell_angle_beta 90.00
_cell_angle_gamma 90.00
loop_
_atom_site_label
_atom_site_fract_x
_atom_site_fract_y
_atom_site_fract_z
Cu1 0.000 0.000 0.000
Re1 0.500 0.500 0.500
Sb1 0.000 0.500 0.500
Sb2 0.500 0.000 0.500
Sb3 0.500 0.500 0.000

(3)
# CoPtW2S (meta-GGA SCAN, PBEsol geometry)
# * electronic total energy: -45.031 eV per atom
# * space group: No. 123
# * M_tot: 2.70 μB per cell
# * formation energy (no corrections): 11.35 eV per formula unit
data_CoPtW2S
_chemical_formula_sum 'Co1 Pt1 W2 S1'
_symmetry_space_group_name_H-M 'P 1'
_symmetry_Int_Tables_number 1
_symmetry_space_group_name_Hall 'P 1'
_cell_length_a 4.784
_cell_length_b 4.784
_cell_length_c 4.476
_cell_angle_alpha 90.00
_cell_angle_beta 90.00
_cell_angle_gamma 90.00
loop_
_atom_site_label
_atom_site_fract_x
_atom_site_fract_y
_atom_site_fract_z
Co1 0.000 0.000 0.000
Pt1 0.500 0.500 0.500
W1 0.000 0.500 0.500
W2 0.500 0.000 0.500
S1 0.500 0.500 0.000

(4)
# BeSiSeN2 (meta-GGA SCAN, PBEsol geometry)
# * electronic total energy: -9.407 eV per atom
# * space group: No. 123
# * M_tot: 1.28 μB per cell
# * formation energy (no corrections): 5.99 eV per formula unit
data_BeSiSeN2
_chemical_formula_sum 'Be1 Si1 Se1 N2'
_symmetry_space_group_name_H-M 'P 1'
_symmetry_Int_Tables_number 1
_symmetry_space_group_name_Hall 'P 1'
_cell_length_a 3.447
_cell_length_b 3.447
_cell_length_c 5.041
_cell_angle_alpha 90.00
_cell_angle_beta 90.00
_cell_angle_gamma 90.00
loop_
_atom_site_label
_atom_site_fract_x
_atom_site_fract_y
_atom_site_fract_z
Be1 0.000 0.000 0.000
Si1 0.500 0.500 0.500
Se1 0.000 0.000 0.500
N1 0.000 0.500 0.000
N2 0.500 0.000 0.000

(5)
# AgWAu (meta-GGA SCAN, PBEsol geometry)
# * electronic total energy: -56.057 eV per atom
# * space group: No. 44
# * M_tot: 0.00 μB per cell
# * energy relative to the elements: 0.68 eV/atom
data_AgWAu
_chemical_formula_sum 'Ag1 W1 Au1'
_symmetry_space_group_name_H-M 'P 1'
_symmetry_Int_Tables_number 1
_symmetry_space_group_name_Hall 'P 1'
_cell_length_a 4.908
_cell_length_b 4.908
_cell_length_c 4.908
_cell_angle_alpha 147.76
_cell_angle_beta 129.46
_cell_angle_gamma 61.23
loop_
_atom_site_label
_atom_site_fract_x
_atom_site_fract_y
_atom_site_fract_z
Ag1 0.000 0.000 0.000
W1 0.335 0.335 0.000
Au1 0.671 0.671 0.000

(6)
# BaTl2Ag (meta-GGA SCAN, PBEsol geometry)
# * energy above the lowest structure with this stoichiometry: 0.094 eV/atom
# * electronic total energy: -54.143 eV per atom
# * space group: No. 44
# * M_tot: 0.00 μB per cell
# * energy relative to the elements: -0.23 eV/atom
data_BaTl2Ag
_chemical_formula_sum 'Ba1 Tl2 Ag1'
_symmetry_space_group_name_H-M 'P 1'
_symmetry_Int_Tables_number 1
_symmetry_space_group_name_Hall 'P 1'
_cell_length_a 5.412
_cell_length_b 5.412
_cell_length_c 5.412
_cell_angle_alpha 120.39
_cell_angle_beta 119.64
_cell_angle_gamma 89.98
loop_
_atom_site_label
_atom_site_fract_x
_atom_site_fract_y
_atom_site_fract_z
Ba1 0.000 0.000 0.000
Tl1 0.497 0.497 0.000
Tl2 0.748 0.248 0.500
Ag1 0.254 0.754 0.500

(7)
# CrReIr2 (meta-GGA SCAN, PBEsol geometry)
# * energy above the lowest structure with this stoichiometry: 0.058 eV/atom
# * electronic total energy: -58.201 eV per atom
# * space group: No. 47
# * M_tot: 1.57 μB per cell
# * energy relative to the elements: -0.28 eV/atom
data_CrReIr2
_chemical_formula_sum 'Cr1 Re1 Ir2'
_symmetry_space_group_name_H-M 'P 1'
_symmetry_Int_Tables_number 1
_symmetry_space_group_name_Hall 'P 1'
_cell_length_a 2.684
_cell_length_b 3.788
_cell_length_c 5.335
_cell_angle_alpha 90.00
_cell_angle_beta 90.00
_cell_angle_gamma 90.00
loop_
_atom_site_label
_atom_site_fract_x
_atom_site_fract_y
_atom_site_fract_z
Cr1 0.000 0.000 0.000
Re1 0.000 0.000 0.500
Ir1 0.500 0.500 0.245
Ir2 0.500 0.500 0.755

(8)
# Sr3SbN (meta-GGA SCAN, PBEsol geometry)
# * electronic total energy: -23.764 eV per atom
# * space group: No. 221
# * M_tot: 0.00 μB per cell
# * formation energy (no corrections): -5.44 eV per formula unit
data_Sr3SbN
_chemical_formula_sum 'Sr3 Sb1 N1'
_symmetry_space_group_name_H-M 'P 1'
_symmetry_Int_Tables_number 1
_symmetry_space_group_name_Hall 'P 1'
_cell_length_a 5.142
_cell_length_b 5.142
_cell_length_c 5.142
_cell_angle_alpha 90.00
_cell_angle_beta 90.00
_cell_angle_gamma 90.00
loop_
_atom_site_label
_atom_site_fract_x
_atom_site_fract_y
_atom_site_fract_z
Sr1 0.000 0.000 0.500
Sr2 0.000 0.500 0.000
Sr3 0.500 0.000 0.000
Sb1 0.500 0.500 0.500
N1 0.000 0.000 0.000

(9)
# BaMn2 (meta-GGA SCAN, PBEsol geometry)
# * electronic total energy: -24.823 eV per atom
# * space group: No. 63
# * M_tot: 13.17 μB per cell
# * energy relative to the elements: 0.53 eV/atom
data_BaMn2
_chemical_formula_sum 'Ba2 Mn4'
_symmetry_space_group_name_H-M 'P 1'
_symmetry_Int_Tables_number 1
_symmetry_space_group_name_Hall 'P 1'
_cell_length_a 6.168
_cell_length_b 6.168
_cell_length_c 4.437
_cell_angle_alpha 90.00
_cell_angle_beta 90.00
_cell_angle_gamma 48.83
loop_
_atom_site_label
_atom_site_fract_x
_atom_site_fract_y
_atom_site_fract_z
Ba1 0.248 0.752 0.750
Ba2 0.752 0.248 0.250
Mn1 0.137 0.383 0.250
Mn2 0.383 0.137 0.750
Mn3 0.617 0.863 0.250
Mn4 0.863 0.617 0.750

(10)
# Sr3CaLa (meta-GGA SCAN, PBEsol geometry)
# * electronic total energy: -23.211 eV per atom
# * space group: No. 221
# * M_tot: 3.09 μB per cell
# * energy relative to the elements: 0.71 eV/atom
data_Sr3CaLa
_chemical_formula_sum 'Sr3 Ca1 La1'
_symmetry_space_group_name_H-M 'P 1'
_symmetry_Int_Tables_number 1
_symmetry_space_group_name_Hall 'P 1'
_cell_length_a 6.322
_cell_length_b 6.322
_cell_length_c 6.322
_cell_angle_alpha 90.00
_cell_angle_beta 90.00
_cell_angle_gamma 90.00
loop_
_atom_site_label
_atom_site_fract_x
_atom_site_fract_y
_atom_site_fract_z
Sr1 0.000 0.000 0.500
Sr2 0.000 0.500 0.000
Sr3 0.500 0.000 0.000
Ca1 0.000 0.000 0.000
La1 0.500 0.500 0.500

(11)
# Li2TaTe (meta-GGA SCAN, PBEsol geometry)
# * electronic total energy: -26.896 eV per atom
# * space group: No. 35
# * M_tot: 0.16 μB per cell
# * formation energy (no corrections): 1.03 eV per formula unit
data_Li2TaTe
_chemical_formula_sum 'Li2 Ta1 Te1'
_symmetry_space_group_name_H-M 'P 1'
_symmetry_Int_Tables_number 1
_symmetry_space_group_name_Hall 'P 1'
_cell_length_a 3.094
_cell_length_b 3.094
_cell_length_c 9.224
_cell_angle_alpha 90.00
_cell_angle_beta 90.00
_cell_angle_gamma 109.71
loop_
_atom_site_label
_atom_site_fract_x
_atom_site_fract_y
_atom_site_fract_z
Li1 0.000 0.000 0.000
Li2 0.500 0.500 0.271
Ta1 0.000 0.000 0.517
Te1 0.500 0.500 0.743

(12)
# V4Cu9Cl2O18 (meta-GGA SCAN, PBEsol geometry)
# * electronic total energy: -11.683 eV per atom
# * space group: No. 2
# * M_tot: 3.01 μB per cell
# * formation energy (no corrections): -50.66 eV per formula unit
data_V4Cu9Cl2O18
_chemical_formula_sum 'V4 Cu9 Cl2 O18'
_symmetry_space_group_name_H-M 'P 1'
_symmetry_Int_Tables_number 1
_symmetry_space_group_name_Hall 'P 1'
_cell_length_a 6.413
_cell_length_b 8.224
_cell_length_c 9.104
_cell_angle_alpha 104.90
_cell_angle_beta 96.65
_cell_angle_gamma 108.58
loop_
_atom_site_label
_atom_site_fract_x
_atom_site_fract_y
_atom_site_fract_z
V1 0.109 0.081 0.350
V2 0.332 0.756 0.855
V3 0.668 0.244 0.145
V4 0.891 0.919 0.650
Cu1 0.000 0.500 0.000
Cu2 0.000 0.500 0.500
Cu3 0.131 0.213 0.024
Cu4 0.171 0.335 0.685
Cu5 0.425 0.052 0.646
Cu6 0.500 0.500 0.000
Cu7 0.575 0.948 0.354
Cu8 0.829 0.665 0.315
Cu9 0.869 0.787 0.976
Cl1 0.340 0.625 0.269
Cl2 0.660 0.375 0.731
O1 0.095 0.284 0.461
O2 0.103 0.077 0.164
O3 0.129 0.731 0.968
O4 0.144 0.095 0.658
O5 0.190 0.389 0.901
O6 0.221 0.574 0.684
O7 0.342 0.037 0.420
O8 0.401 0.948 0.812
O9 0.444 0.278 0.045
O10 0.556 0.722 0.955
O11 0.599 0.052 0.188
O12 0.658 0.963 0.580
O13 0.779 0.426 0.316
O14 0.810 0.611 0.099
O15 0.856 0.905 0.342
O16 0.871 0.269 0.032
O17 0.897 0.923 0.836
O18 0.905 0.716 0.539

(13)
# SrSi (meta-GGA SCAN, PBEsol geometry)
# * electronic total energy: -16.645 eV per atom
# * space group: No. 62
# * M_tot: 0.00 μB per cell
# * formation energy (no corrections): -1.00 eV per formula unit
data_SrSi
_chemical_formula_sum 'Sr4 Si4'
_symmetry_space_group_name_H-M 'P 1'
_symmetry_Int_Tables_number 1
_symmetry_space_group_name_Hall 'P 1'
_cell_length_a 8.776
_cell_length_b 4.002
_cell_length_c 6.073
_cell_angle_alpha 90.00
_cell_angle_beta 90.00
_cell_angle_gamma 90.00
loop_
_atom_site_label
_atom_site_fract_x
_atom_site_fract_y
_atom_site_fract_z
Sr1 0.180 0.250 0.107
Sr2 0.320 0.750 0.607
Sr3 0.680 0.250 0.393
Sr4 0.820 0.750 0.893
Si1 0.031 0.250 0.609
Si2 0.469 0.750 0.109
Si3 0.531 0.250 0.891
Si4 0.969 0.750 0.391